[1]
First-principles (PBE-GGA) data for crystalline Sc2FeGe4 at its relaxed geometry, as listed in Alexandria via LeMat-Bulk.

abc: 4.5541 4.5541 13.5709
angles: 90.00 90.00 90.00
Fractional positions:
Sc (0.0000, 0.0000, 0.1281)
Sc (0.0000, 0.0000, 0.8719)
Sc (0.5000, 0.5000, 0.3719)
Sc (0.5000, 0.5000, 0.6281)
Fe (0.0000, 0.0000, 0.5000)
Fe (0.5000, 0.5000, 0.0000)
Ge (0.0000, 0.0000, 0.3233)
Ge (0.0000, 0.0000, 0.6767)
Ge (0.0000, 0.5000, 0.0000)
Ge (0.0000, 0.5000, 0.5000)
Ge (0.5000, 0.0000, 0.0000)
Ge (0.5000, 0.0000, 0.5000)
Ge (0.5000, 0.5000, 0.1767)
Ge (0.5000, 0.5000, 0.8233)

Calculated values
- Fermi-level density of states (states/eV per cell) = 11.421
- energy of formation (eV per atom) = -0.096
- crystal system = tetragonal
- spin magnetization (Bohr magnetons per cell) = 4.7

---

[2]
First-principles (PBE-GGA) data for crystalline ScFe2SiGe at its relaxed geometry, as listed in Alexandria via LeMat-Bulk.

abc: 5.6509 5.6509 5.4081
angles: 90.00 90.00 122.79
Fractional positions:
Sc (0.2478, 0.7522, 0.7500)
Sc (0.7522, 0.2478, 0.2500)
Fe (0.2509, 0.2509, 0.0000)
Fe (0.2509, 0.2509, 0.5000)
Fe (0.7491, 0.7491, 0.0000)
Fe (0.7491, 0.7491, 0.5000)
Si (0.1189, 0.8811, 0.2500)
Si (0.8811, 0.1189, 0.7500)
Ge (0.3637, 0.6363, 0.2500)
Ge (0.6363, 0.3637, 0.7500)

Calculated values
- Fermi-level density of states (states/eV per cell) = 8.899
- crystal system = orthorhombic
- spin magnetization (Bohr magnetons per cell) = 3.4
- formation energy without anion corrections (eV per atom) = -0.50

---

[3]
First-principles (PBE-GGA) data for crystalline Sc2Fe2Si2Ge at its relaxed geometry, as listed in Alexandria via LeMat-Bulk.

abc: 4.2376 4.2376 13.5788
angles: 90.00 90.00 90.00
Fractional positions:
Sc (0.0000, 0.0000, 0.1878)
Sc (0.0000, 0.0000, 0.8122)
Sc (0.5000, 0.5000, 0.3122)
Sc (0.5000, 0.5000, 0.6878)
Fe (0.0000, 0.5000, 0.0000)
Fe (0.0000, 0.5000, 0.5000)
Fe (0.5000, 0.0000, 0.0000)
Fe (0.5000, 0.0000, 0.5000)
Si (0.0000, 0.0000, 0.3940)
Si (0.0000, 0.0000, 0.6060)
Si (0.5000, 0.5000, 0.1060)
Si (0.5000, 0.5000, 0.8940)
Ge (0.0000, 0.0000, 0.0000)
Ge (0.5000, 0.5000, 0.5000)

Calculated values
- Fermi-level density of states (states/eV per cell) = 11.677
- crystal system = tetragonal
- spin magnetization (Bohr magnetons per cell) = 5.9
- formation energy without anion corrections (eV per atom) = -0.01

---

Please write out number 2 again, unchanged.
First-principles (PBE-GGA) data for crystalline ScFe2SiGe at its relaxed geometry, as listed in Alexandria via LeMat-Bulk.

abc: 5.6509 5.6509 5.4081
angles: 90.00 90.00 122.79
Fractional positions:
Sc (0.2478, 0.7522, 0.7500)
Sc (0.7522, 0.2478, 0.2500)
Fe (0.2509, 0.2509, 0.0000)
Fe (0.2509, 0.2509, 0.5000)
Fe (0.7491, 0.7491, 0.0000)
Fe (0.7491, 0.7491, 0.5000)
Si (0.1189, 0.8811, 0.2500)
Si (0.8811, 0.1189, 0.7500)
Ge (0.3637, 0.6363, 0.2500)
Ge (0.6363, 0.3637, 0.7500)

Calculated values
- Fermi-level density of states (states/eV per cell) = 8.899
- crystal system = orthorhombic
- spin magnetization (Bohr magnetons per cell) = 3.4
- formation energy without anion corrections (eV per atom) = -0.50

---

- The lowest Fermi-level density of states belongs to which entry?
  ScFe2SiGe

---

- Look up the spin magnetization of the second one.
  3.4 Bohr magnetons per cell